Record 1
Below is a geometry-optimized K2FeW structure, with properties calculated at the GGA-PBE level.

Output
Magnetization ... 2.2 μB/cell
Total DFT energy (no corrections) ... -17.4 eV for the cell shown
Crystal system ... tetragonal

Cell: 2.7713 2.7713 11.9291 Å, 90.00 90.00 90.00°
Last column: nearest neighbours and their distance in Å.
Space group P4/mmm (No. 123)
Asymmetric unit:
K: 0.0000 0.0000 0.2466 [2 per cell]  4 K 2.77
Fe: 0.5000 0.5000 0.0000 [1 per cell]  4 Fe 2.77
W: 0.5000 0.5000 0.5000 [1 per cell]  4 W 2.77

=====

Record 2
Below is a geometry-optimized Ba2CoCu2 structure, with properties calculated at the GGA-PBE level.

Output
Magnetization ... 0.0 μB/cell
Total DFT energy (no corrections) ... -33.8 eV for the cell shown
Crystal system ... tetragonal

Cell: 7.2330 7.2330 4.7781 Å, 90.00 90.00 90.00°
Last column: nearest neighbours and their distance in Å.
Space group P4/mbm (No. 127)
Asymmetric unit:
Ba: 0.1881 0.3119 0.0000 [4 per cell]  6 Cu 3.07-3.32
Co: 0.0000 0.0000 0.5000 [2 per cell]  4 Cu 2.86
Cu: 0.1238 0.6238 0.5000 [4 per cell]  1 Cu 2.53

=====

Record 3
Below is a geometry-optimized TmCd3Pd structure, with properties calculated at the GGA-PBE level.

Output
Magnetization ... 0.0 μB/cell
Total DFT energy (no corrections) ... -51.6 eV for the cell shown
Crystal system ... tetragonal

Cell: 5.4125 5.4125 18.7335 Å, 90.00 90.00 90.00°
Last column: nearest neighbours and their distance in Å.
Space group I-4m2 (No. 119)
Asymmetric unit:
Tm: 0.0000 0.0000 0.2098 [4 per cell]  2 Pd 2.81
Cd: 0.0000 0.2488 0.6234 [8 per cell]  2 Pd 2.68-2.73, 2 Cd 2.69-2.72
Cd: 0.0000 0.5000 0.0423 [4 per cell]  2 Pd 2.82
Pd: 0.0000 0.0000 0.5000 [2 per cell]  8 Cd 2.68-2.82
Pd: 0.0000 0.5000 0.7500 [2 per cell]  4 Cd 2.73, 4 Tm 2.81

=====

no.,theoretical density (g/cm3)
1,5.8
2,6.1
3,7.4